Entry from the Alexandria database: VCo2AsH after structural relaxation (PBE-GGA).

a b c (Å): 3.6109 3.6109 3.8298
angles (deg): 90.00 90.00 90.00
Atoms (fractional coordinates):
V: 0.0000 0.0000 0.0000
Co: 0.0000 0.5000 0.5000
Co: 0.5000 0.0000 0.5000
As: 0.5000 0.5000 0.0000
H: 0.0000 0.0000 0.5000

Values from the calculation:
- DOS(E_F): 5.72 states/eV/f.u.
- Spin magnetization: 0.4 μB/cell
- Calculated total energy: -0.235 Ha/atom